Cs2LaAgCl6: relaxed, GGA-PBEsol. Values from VASP.

Output
M_tot ... 0.000 μB/atom
Electronic total energy ... -4.10 eV per atom

Geometry as Quantum ESPRESSO input:
```
&SYSTEM
  ibrav = 0, nat = 10, ntyp = 4
/
ATOMIC_SPECIES
Ag 107.87 Ag.upf
Cs 132.91 Cs.upf
Cl 35.45 Cl.upf
La 138.91 La.upf
ATOMIC_POSITIONS angstrom
Ag 7.643 4.413 3.120
Cs 11.464 6.619 4.680
Cl 7.643 2.233 1.579
Cl 9.531 5.502 1.579
Cl 5.755 5.502 1.579
Cs 3.821 2.206 1.560
Cl 7.643 6.592 4.661
Cl 5.755 3.323 4.661
Cl 9.531 3.323 4.661
La 0.000 0.000 0.000
CELL_PARAMETERS angstrom
7.643 0.000 0.000
3.821 6.619 0.000
3.821 2.206 6.240
```